# MnAlPdF6 (PBE+U, optimized geometry)
# **Calculated total energy**: -5.57 eV per atom
data_MnAlPdF6
_symmetry_space_group_name_H-M 'P 1'
_symmetry_Int_Tables_number 1
_symmetry_space_group_name_Hall 'P 1'
_cell_length_a 5.407
_cell_length_b 5.407
_cell_length_c 9.854
_cell_angle_alpha 90.00
_cell_angle_beta 90.00
_cell_angle_gamma 120.00
loop_
_atom_site_label
_atom_site_fract_x
_atom_site_fract_y
_atom_site_fract_z
Mn1 0.333 0.667 0.250
Mn2 0.667 0.333 0.750
Al1 0.333 0.667 0.750
Al2 0.667 0.333 0.250
Pd1 0.000 0.000 0.000
Pd2 0.000 0.000 0.500
F1 0.043 0.394 0.646
F2 0.043 0.649 0.854
F3 0.351 0.394 0.854
F4 0.351 0.957 0.646
F5 0.394 0.043 0.146
F6 0.394 0.351 0.354
F7 0.606 0.649 0.646
F8 0.606 0.957 0.854
F9 0.649 0.043 0.354
F10 0.649 0.606 0.146
F11 0.957 0.351 0.146
F12 0.957 0.606 0.354